# Sc3Cu4Ge4 (PBE-GGA, optimized geometry)
# DFT formation energy ... -475 meV/atom
data_Sc3Cu4Ge4
_chemical_formula_sum 'Sc3 Cu4 Ge4'
_cell_length_a 3.5277
_cell_length_b 4.0984
_cell_length_c 12.8252
_cell_angle_alpha 80.82
_cell_angle_beta 82.12
_cell_angle_gamma 89.99
_space_group_name_H-M_alt 'P -1'
_space_group_IT_number 2
_space_group_name_Hall '-P 1'
loop_
_atom_site_label
_atom_site_type_symbol
_atom_site_fract_x
_atom_site_fract_y
_atom_site_fract_z
Sc1 Sc 0.0000 0.0000 0.0000
Sc2 Sc 0.1463 0.6457 0.7085
Cu1 Cu 0.2567 0.2559 0.4875
Cu2 Cu 0.4058 0.9072 0.1883
Ge1 Ge 0.3115 0.8121 0.3755
Ge2 Ge 0.4495 0.4514 0.0992

# Sc2Cu3Ge4 (PBE-GGA, optimized geometry)
# DFT formation energy ... -368 meV/atom
data_Sc2Cu3Ge4
_chemical_formula_sum 'Sc8 Cu12 Ge16'
_cell_length_a 5.5096
_cell_length_b 14.4091
_cell_length_c 7.3100
_cell_angle_alpha 90.00
_cell_angle_beta 90.00
_cell_angle_gamma 90.00
_space_group_name_H-M_alt 'C m c e'
_space_group_IT_number 64
_space_group_name_Hall '-C 2ac 2'
loop_
_atom_site_label
_atom_site_type_symbol
_atom_site_fract_x
_atom_site_fract_y
_atom_site_fract_z
Sc1 Sc 0.0000 0.1089 0.0928
Cu1 Cu 0.0000 0.0000 0.5000
Cu2 Cu 0.2500 0.2237 0.7500
Ge1 Ge 0.0000 0.1803 0.4669
Ge2 Ge 0.2500 0.0538 0.7500

# ScCu4Ge2 (PBE-GGA, optimized geometry)
# DFT formation energy ... -259 meV/atom
data_ScCu4Ge2
_chemical_formula_sum 'Sc3 Cu12 Ge6'
_cell_length_a 4.1120
_cell_length_b 4.1120
_cell_length_c 21.1866
_cell_angle_alpha 90.00
_cell_angle_beta 90.00
_cell_angle_gamma 120.00
_space_group_name_H-M_alt 'R -3 m'
_space_group_IT_number 166
_space_group_name_Hall '-R 3 2"'
loop_
_atom_site_label
_atom_site_type_symbol
_atom_site_fract_x
_atom_site_fract_y
_atom_site_fract_z
Sc1 Sc 0.0000 0.0000 0.0000
Cu1 Cu 0.0000 0.0000 0.1403
Cu2 Cu 0.0000 0.0000 0.4343
Ge1 Ge 0.0000 0.0000 0.2593

# Sc6Cu5Ge (PBE-GGA, optimized geometry)
# DFT formation energy ... -370 meV/atom
data_Sc6Cu5Ge
_chemical_formula_sum 'Sc12 Cu10 Ge2'
_cell_length_a 8.0086
_cell_length_b 13.9401
_cell_length_c 4.6238
_cell_angle_alpha 90.00
_cell_angle_beta 125.21
_cell_angle_gamma 90.00
_space_group_name_H-M_alt 'C 1 2/m 1'
_space_group_IT_number 12
_space_group_name_Hall '-C 2y'
loop_
_atom_site_label
_atom_site_type_symbol
_atom_site_fract_x
_atom_site_fract_y
_atom_site_fract_z
Sc1 Sc 0.2459 0.0000 0.2463
Sc2 Sc 0.2476 0.1681 0.7478
Cu1 Cu 0.0000 0.0000 0.5000
Cu2 Cu 0.0000 0.1654 0.0000
Cu3 Cu 0.0000 0.3291 0.5000
Ge1 Ge 0.0000 0.5000 0.0000

# ScCu3Ge (PBE-GGA, optimized geometry)
# DFT formation energy ... 1146 meV/atom
data_ScCu3Ge
_chemical_formula_sum 'Sc1 Cu3 Ge1'
_cell_length_a 4.7717
_cell_length_b 4.7717
_cell_length_c 4.7717
_cell_angle_alpha 90.00
_cell_angle_beta 90.00
_cell_angle_gamma 90.00
_space_group_name_H-M_alt 'P m -3 m'
_space_group_IT_number 221
_space_group_name_Hall '-P 4 2 3'
loop_
_atom_site_label
_atom_site_type_symbol
_atom_site_fract_x
_atom_site_fract_y
_atom_site_fract_z
Sc1 Sc 0.0000 0.0000 0.0000
Cu1 Cu 0.0000 0.0000 0.5000
Ge1 Ge 0.5000 0.5000 0.5000

# ScCu3Ge (PBE-GGA, optimized geometry)
# DFT formation energy ... 253 meV/atom
data_ScCu3Ge
_chemical_formula_sum 'Sc1 Cu3 Ge1'
_cell_length_a 4.4631
_cell_length_b 4.4631
_cell_length_c 4.4631
_cell_angle_alpha 90.00
_cell_angle_beta 90.00
_cell_angle_gamma 90.00
_space_group_name_H-M_alt 'P m -3 m'
_space_group_IT_number 221
_space_group_name_Hall '-P 4 2 3'
loop_
_atom_site_label
_atom_site_type_symbol
_atom_site_fract_x
_atom_site_fract_y
_atom_site_fract_z
Sc1 Sc 0.0000 0.0000 0.0000
Cu1 Cu 0.0000 0.5000 0.5000
Ge1 Ge 0.5000 0.5000 0.5000

# ScCuGe2 (PBE-GGA, optimized geometry)
# DFT formation energy ... -146 meV/atom
data_ScCuGe2
_chemical_formula_sum 'Sc4 Cu4 Ge8'
_cell_length_a 4.3684
_cell_length_b 4.3684
_cell_length_c 16.5072
_cell_angle_alpha 90.00
_cell_angle_beta 90.00
_cell_angle_gamma 90.00
_space_group_name_H-M_alt 'I -4 2 d'
_space_group_IT_number 122
_space_group_name_Hall 'I -4 2bw'
loop_
_atom_site_label
_atom_site_type_symbol
_atom_site_fract_x
_atom_site_fract_y
_atom_site_fract_z
Sc1 Sc 0.0000 0.0000 0.0000
Cu1 Cu 0.0000 0.0000 0.5000
Ge1 Ge 0.1764 0.2500 0.6250

# ScCu4Ge2 (PBE-GGA, optimized geometry)
# DFT formation energy ... -279 meV/atom
data_ScCu4Ge2
_chemical_formula_sum 'Sc2 Cu8 Ge4'
_cell_length_a 7.2022
_cell_length_b 7.2022
_cell_length_c 3.9711
_cell_angle_alpha 90.00
_cell_angle_beta 90.00
_cell_angle_gamma 90.00
_space_group_name_H-M_alt 'P 42/m n m'
_space_group_IT_number 136
_space_group_name_Hall '-P 4n 2n'
loop_
_atom_site_label
_atom_site_type_symbol
_atom_site_fract_x
_atom_site_fract_y
_atom_site_fract_z
Sc1 Sc 0.0000 0.0000 0.0000
Cu1 Cu 0.0985 0.3526 0.5000
Ge1 Ge 0.2128 0.7872 0.5000

# ScCuGe2 (PBE-GGA, optimized geometry)
# DFT formation energy ... -374 meV/atom
data_ScCuGe2
_chemical_formula_sum 'Sc1 Cu1 Ge2'
_cell_length_a 4.1373
_cell_length_b 4.1373
_cell_length_c 3.8704
_cell_angle_alpha 90.00
_cell_angle_beta 90.00
_cell_angle_gamma 90.00
_space_group_name_H-M_alt 'P 4/m m m'
_space_group_IT_number 123
_space_group_name_Hall '-P 4 2'
loop_
_atom_site_label
_atom_site_type_symbol
_atom_site_fract_x
_atom_site_fract_y
_atom_site_fract_z
Sc1 Sc 0.0000 0.0000 0.0000
Cu1 Cu 0.5000 0.5000 0.0000
Ge1 Ge 0.0000 0.5000 0.5000

# Sc3Cu2Ge4 (PBE-GGA, optimized geometry)
# DFT formation energy ... -593 meV/atom
data_Sc3Cu2Ge4
_chemical_formula_sum 'Sc6 Cu4 Ge8'
_cell_length_a 10.4123
_cell_length_b 4.0352
_cell_length_c 7.8405
_cell_angle_alpha 90.00
_cell_angle_beta 108.24
_cell_angle_gamma 90.00
_space_group_name_H-M_alt 'C 1 2/m 1'
_space_group_IT_number 12
_space_group_name_Hall '-C 2y'
loop_
_atom_site_label
_atom_site_type_symbol
_atom_site_fract_x
_atom_site_fract_y
_atom_site_fract_z
Sc1 Sc 0.0000 0.0000 0.0000
Sc2 Sc 0.1267 0.5000 0.6951
Cu1 Cu 0.1950 0.5000 0.3774
Ge1 Ge 0.0713 0.0000 0.3887
Ge2 Ge 0.2044 0.5000 0.0722

# Sc3CuGe (PBE-GGA, optimized geometry)
# DFT formation energy ... 52 meV/atom
data_Sc3CuGe
_chemical_formula_sum 'Sc3 Cu1 Ge1'
_cell_length_a 4.8574
_cell_length_b 4.8574
_cell_length_c 4.8574
_cell_angle_alpha 90.00
_cell_angle_beta 90.00
_cell_angle_gamma 90.00
_space_group_name_H-M_alt 'P m -3 m'
_space_group_IT_number 221
_space_group_name_Hall '-P 4 2 3'
loop_
_atom_site_label
_atom_site_type_symbol
_atom_site_fract_x
_atom_site_fract_y
_atom_site_fract_z
Sc1 Sc 0.0000 0.0000 0.5000
Cu1 Cu 0.0000 0.0000 0.0000
Ge1 Ge 0.5000 0.5000 0.5000

# ScCuGe3 (PBE-GGA, optimized geometry)
# DFT formation energy ... 832 meV/atom
data_ScCuGe3
_chemical_formula_sum 'Sc1 Cu1 Ge3'
_cell_length_a 5.1111
_cell_length_b 5.1111
_cell_length_c 5.1111
_cell_angle_alpha 90.00
_cell_angle_beta 90.00
_cell_angle_gamma 90.00
_space_group_name_H-M_alt 'P m -3 m'
_space_group_IT_number 221
_space_group_name_Hall '-P 4 2 3'
loop_
_atom_site_label
_atom_site_type_symbol
_atom_site_fract_x
_atom_site_fract_y
_atom_site_fract_z
Sc1 Sc 0.0000 0.0000 0.0000
Cu1 Cu 0.5000 0.5000 0.5000
Ge1 Ge 0.0000 0.0000 0.5000

# ScCuGe2 (PBE-GGA, optimized geometry)
# DFT formation energy ... -134 meV/atom
data_ScCuGe2
_chemical_formula_sum 'Sc4 Cu4 Ge8'
_cell_length_a 6.5143
_cell_length_b 6.5143
_cell_length_c 6.5143
_cell_angle_alpha 90.00
_cell_angle_beta 90.00
_cell_angle_gamma 90.00
_space_group_name_H-M_alt 'F m -3 m'
_space_group_IT_number 225
_space_group_name_Hall '-F 4 2 3'
loop_
_atom_site_label
_atom_site_type_symbol
_atom_site_fract_x
_atom_site_fract_y
_atom_site_fract_z
Sc1 Sc 0.0000 0.0000 0.0000
Cu1 Cu 0.0000 0.0000 0.5000
Ge1 Ge 0.2500 0.2500 0.2500

# SmScCuGe (PBE-GGA, optimized geometry)
# DFT formation energy ... -468 meV/atom
data_SmScCuGe
_chemical_formula_sum 'Sm4 Sc4 Cu4 Ge4'
_cell_length_a 6.9181
_cell_length_b 6.9181
_cell_length_c 6.9181
_cell_angle_alpha 90.00
_cell_angle_beta 90.00
_cell_angle_gamma 90.00
_space_group_name_H-M_alt 'F -4 3 m'
_space_group_IT_number 216
_space_group_name_Hall 'F -4 2 3'
loop_
_atom_site_label
_atom_site_type_symbol
_atom_site_fract_x
_atom_site_fract_y
_atom_site_fract_z
Sm1 Sm 0.0000 0.0000 0.0000
Sc1 Sc 0.0000 0.0000 0.5000
Cu1 Cu 0.2500 0.2500 0.7500
Ge1 Ge 0.2500 0.2500 0.2500

# SmScCu2Ge2 (PBE-GGA, optimized geometry)
# DFT formation energy ... -664 meV/atom
data_SmScCu2Ge2
_chemical_formula_sum 'Sm1 Sc1 Cu2 Ge2'
_cell_length_a 4.2325
_cell_length_b 4.2325
_cell_length_c 7.0981
_cell_angle_alpha 90.00
_cell_angle_beta 90.00
_cell_angle_gamma 120.00
_space_group_name_H-M_alt 'P -3 m 1'
_space_group_IT_number 164
_space_group_name_Hall '-P 3 2"'
loop_
_atom_site_label
_atom_site_type_symbol
_atom_site_fract_x
_atom_site_fract_y
_atom_site_fract_z
Sm1 Sm 0.0000 0.0000 0.0000
Sc1 Sc 0.0000 0.0000 0.5000
Cu1 Cu 0.3333 0.6667 0.6973
Ge1 Ge 0.3333 0.6667 0.2701

# SmSc2Cu2Ge2 (PBE-GGA, optimized geometry)
# DFT formation energy ... -522 meV/atom
data_SmSc2Cu2Ge2
_chemical_formula_sum 'Sm3 Sc6 Cu6 Ge6'
_cell_length_a 4.3374
_cell_length_b 4.3374
_cell_length_c 24.5316
_cell_angle_alpha 90.00
_cell_angle_beta 90.00
_cell_angle_gamma 120.00
_space_group_name_H-M_alt 'R -3 m'
_space_group_IT_number 166
_space_group_name_Hall '-R 3 2"'
loop_
_atom_site_label
_atom_site_type_symbol
_atom_site_fract_x
_atom_site_fract_y
_atom_site_fract_z
Sm1 Sm 0.0000 0.0000 0.0000
Sc1 Sc 0.0000 0.0000 0.1355
Cu1 Cu 0.0000 0.0000 0.4368
Ge1 Ge 0.0000 0.0000 0.2576

# Sm2ScCu3Ge4 (PBE-GGA, optimized geometry)
# DFT formation energy ... -562 meV/atom
data_Sm2ScCu3Ge4
_chemical_formula_sum 'Sm2 Sc1 Cu3 Ge4'
_cell_length_a 4.2189
_cell_length_b 4.2189
_cell_length_c 10.6600
_cell_angle_alpha 90.00
_cell_angle_beta 90.00
_cell_angle_gamma 90.00
_space_group_name_H-M_alt 'P -4 m 2'
_space_group_IT_number 115
_space_group_name_Hall 'P -4 -2'
loop_
_atom_site_label
_atom_site_type_symbol
_atom_site_fract_x
_atom_site_fract_y
_atom_site_fract_z
Sm1 Sm 0.0000 0.5000 0.2315
Sc1 Sc 0.0000 0.0000 0.5000
Cu1 Cu 0.0000 0.5000 0.8762
Cu2 Cu 0.5000 0.5000 0.5000
Ge1 Ge 0.0000 0.0000 0.0000
Ge2 Ge 0.0000 0.5000 0.6513
Ge3 Ge 0.5000 0.5000 0.0000

# TbSc2Cu2Ge2 (PBE-GGA, optimized geometry)
# DFT formation energy ... -507 meV/atom
data_TbSc2Cu2Ge2
_chemical_formula_sum 'Tb3 Sc6 Cu6 Ge6'
_cell_length_a 4.3130
_cell_length_b 4.3130
_cell_length_c 24.3568
_cell_angle_alpha 90.00
_cell_angle_beta 90.00
_cell_angle_gamma 120.00
_space_group_name_H-M_alt 'R -3 m'
_space_group_IT_number 166
_space_group_name_Hall '-R 3 2"'
loop_
_atom_site_label
_atom_site_type_symbol
_atom_site_fract_x
_atom_site_fract_y
_atom_site_fract_z
Tb1 Tb 0.0000 0.0000 0.0000
Sc1 Sc 0.0000 0.0000 0.1350
Cu1 Cu 0.0000 0.0000 0.4336
Ge1 Ge 0.0000 0.0000 0.2592

# TbScCuGe (PBE-GGA, optimized geometry)
# DFT formation energy ... -493 meV/atom
data_TbScCuGe
_chemical_formula_sum 'Tb4 Sc4 Cu4 Ge4'
_cell_length_a 6.8457
_cell_length_b 6.8457
_cell_length_c 6.8457
_cell_angle_alpha 90.00
_cell_angle_beta 90.00
_cell_angle_gamma 90.00
_space_group_name_H-M_alt 'F -4 3 m'
_space_group_IT_number 216
_space_group_name_Hall 'F -4 2 3'
loop_
_atom_site_label
_atom_site_type_symbol
_atom_site_fract_x
_atom_site_fract_y
_atom_site_fract_z
Tb1 Tb 0.0000 0.0000 0.0000
Sc1 Sc 0.0000 0.0000 0.5000
Cu1 Cu 0.2500 0.2500 0.2500
Ge1 Ge 0.2500 0.2500 0.7500

# ThScCu2Ge2 (PBE-GGA, optimized geometry)
# DFT formation energy ... -635 meV/atom
data_ThScCu2Ge2
_chemical_formula_sum 'Th1 Sc1 Cu2 Ge2'
_cell_length_a 4.2336
_cell_length_b 4.2336
_cell_length_c 7.1978
_cell_angle_alpha 90.00
_cell_angle_beta 90.00
_cell_angle_gamma 120.00
_space_group_name_H-M_alt 'P -3 m 1'
_space_group_IT_number 164
_space_group_name_Hall '-P 3 2"'
loop_
_atom_site_label
_atom_site_type_symbol
_atom_site_fract_x
_atom_site_fract_y
_atom_site_fract_z
Th1 Th 0.0000 0.0000 0.0000
Sc1 Sc 0.0000 0.0000 0.5000
Cu1 Cu 0.3333 0.6667 0.7014
Ge1 Ge 0.3333 0.6667 0.2726

Number 1: V 181.3 Å³/f.u., Fermi-level density of states 5.261 states/eV/f.u.. Number 2: V 145.1 Å³/f.u., Fermi-level density of states 3.823 states/eV/f.u.. Number 3: V 103.4 Å³/f.u., Fermi-level density of states 3.244 states/eV/f.u.. Number 4: V 210.9 Å³/f.u., Fermi-level density of states 7.683 states/eV/f.u.. Number 5: V 108.6 Å³/f.u., Fermi-level density of states 4.036 states/eV/f.u.. Number 6: V 88.9 Å³/f.u., Fermi-level density of states 4.170 states/eV/f.u.. Number 7: V 78.8 Å³/f.u., Fermi-level density of states 0.447 states/eV/f.u.. Number 8: V 103.0 Å³/f.u., Fermi-level density of states 2.990 states/eV/f.u.. Number 9: V 66.2 Å³/f.u., Fermi-level density of states 1.646 states/eV/f.u.. Number 10: V 156.4 Å³/f.u., Fermi-level density of states 2.500 states/eV/f.u.. Number 11: V 114.6 Å³/f.u., Fermi-level density of states 7.349 states/eV/f.u.. Number 12: V 133.5 Å³/f.u., Fermi-level density of states 5.471 states/eV/f.u.. Number 13: V 69.1 Å³/f.u., Fermi-level density of states 2.394 states/eV/f.u.. Number 14: V 82.8 Å³/f.u., Fermi-level density of states 3.610 states/eV/f.u.. Number 15: V 110.1 Å³/f.u., Fermi-level density of states 2.814 states/eV/f.u.. Number 16: V 133.2 Å³/f.u., Fermi-level density of states 4.092 states/eV/f.u.. Number 17: V 189.7 Å³/f.u., Fermi-level density of states 2.252 states/eV/f.u.. Number 18: V 130.8 Å³/f.u., Fermi-level density of states 4.305 states/eV/f.u.. Number 19: V 80.2 Å³/f.u., Fermi-level density of states 3.541 states/eV/f.u.. Number 20: V 111.7 Å³/f.u., Fermi-level density of states 3.097 states/eV/f.u..